DFT (PBE+U) results for an optimized crystal structure of BaLaCoO4.

```
data_BaLaCoO4
_cell_length_a 3.919
_cell_length_b 3.919
_cell_length_c 13.115
_cell_angle_alpha 90.00
_cell_angle_beta 90.00
_cell_angle_gamma 90.00
_space_group_name_H-M_alt 'I 4 m m'
_space_group_IT_number 107
_space_group_name_Hall 'I 4 -2'
loop_
_atom_site_label
_atom_site_fract_x
_atom_site_fract_y
_atom_site_fract_z
Ba1 0.000 0.000 0.000
La1 0.000 0.000 0.717
Co1 0.000 0.000 0.352
O1 0.000 0.000 0.198
O2 0.000 0.000 0.537
O3 0.000 0.500 0.344
```

Output
Final energy, eV per atom: -6.852
N(E_F), states/eV per atom: 0.034
Crystal system: tetragonal